The following is a DFT calculation (PBE) of a relaxed CoRuW crystal. Values from VASP.

Structure (Quantum ESPRESSO input):
```
&SYSTEM
  ibrav = 0, nat = 12, ntyp = 3
/
ATOMIC_SPECIES
Ru 101.07 Ru.upf
Co 58.93 Co.upf
W 183.84 W.upf
CELL_PARAMETERS angstrom
-1.0127 -4.5834 2.0293
-1.4413 -1.5290 -4.1726
7.2282 1.8990 -3.1927
ATOMIC_POSITIONS crystal
Ru 0.9954 0.9274 0.3352
Ru 0.0046 0.9274 0.6648
Ru 0.9954 0.4274 0.8352
Ru 0.0046 0.4274 0.1648
Co 0.5124 0.5918 0.1700
Co 0.4876 0.5918 0.8300
Co 0.5124 0.0918 0.6700
Co 0.4876 0.0918 0.3300
W 0.5000 0.5938 0.5000
W 0.5000 0.0938 0.0000
W 0.0000 0.9192 0.0000
W 0.0000 0.4192 0.5000
```

Summary:
Calculated volume in Å³ per atom: 13.60
DFT formation energy in meV/atom: 90


The following is a DFT calculation (PBE) of a relaxed CoRuW crystal. Values from VASP.

Structure (Quantum ESPRESSO input):
```
&SYSTEM
  ibrav = 0, nat = 6, ntyp = 3
/
ATOMIC_SPECIES
Co 58.93 Co.upf
Ru 101.07 Ru.upf
W 183.84 W.upf
CELL_PARAMETERS angstrom
4.6375 -0.8142 0.0000
-2.1190 4.2047 0.0000
0.0000 0.0000 4.7754
ATOMIC_POSITIONS crystal
Co 0.0000 0.0000 0.5000
Co 0.0000 0.0000 0.0000
Ru 0.5979 0.4021 0.7500
Ru 0.4021 0.5979 0.2500
W 0.7201 0.2799 0.2500
W 0.2799 0.7201 0.7500
```

Summary:
Calculated volume in Å³ per atom: 14.15
DFT formation energy in meV/atom: 183


The following is a DFT calculation (PBE) of a relaxed Co2RuW crystal. Values from VASP.

Structure (Quantum ESPRESSO input):
```
&SYSTEM
  ibrav = 0, nat = 4, ntyp = 3
/
ATOMIC_SPECIES
Ru 101.07 Ru.upf
Co 58.93 Co.upf
W 183.84 W.upf
CELL_PARAMETERS angstrom
-4.0652 -0.9001 0.4463
-2.2671 1.9515 2.9303
-2.9007 2.8047 -1.1201
ATOMIC_POSITIONS crystal
Ru 0.0000 0.0000 0.0000
Co 0.2500 0.2500 0.2500
Co 0.7500 0.7500 0.7500
W 0.5000 0.5000 0.5000
```

Summary:
Calculated volume in Å³ per atom: 12.98
DFT formation energy in meV/atom: 285


The following is a DFT calculation (PBE) of a relaxed Co2RuW crystal. Values from VASP.

Structure (Quantum ESPRESSO input):
```
&SYSTEM
  ibrav = 0, nat = 4, ntyp = 3
/
ATOMIC_SPECIES
Co 58.93 Co.upf
Ru 101.07 Ru.upf
W 183.84 W.upf
CELL_PARAMETERS angstrom
-1.7856 -0.5311 4.1525
2.7474 -2.6219 2.5082
0.8054 3.7140 -2.5043
ATOMIC_POSITIONS crystal
Co 0.0000 0.0000 0.0000
Co 0.7500 0.2500 0.5000
Ru 0.5000 0.5000 0.0000
W 0.2500 0.7500 0.5000
```

Summary:
Calculated volume in Å³ per atom: 12.83
DFT formation energy in meV/atom: 27


The following is a DFT calculation (PBE) of a relaxed Co2RuW crystal. Values from VASP.

Structure (Quantum ESPRESSO input):
```
&SYSTEM
  ibrav = 0, nat = 4, ntyp = 3
/
ATOMIC_SPECIES
Ru 101.07 Ru.upf
Co 58.93 Co.upf
W 183.84 W.upf
CELL_PARAMETERS angstrom
4.1813 0.0000 0.0000
0.0000 2.6773 -0.0001
0.0000 0.0010 4.5215
ATOMIC_POSITIONS crystal
Ru 0.0000 0.6247 0.4429
Co 0.0000 0.1251 0.9689
Co 0.5000 0.1249 0.2922
W 0.5000 0.6253 0.7960
```

Summary:
Calculated volume in Å³ per atom: 12.65
DFT formation energy in meV/atom: 11


The following is a DFT calculation (PBE) of a relaxed CoRuW crystal. Values from VASP.

Structure (Quantum ESPRESSO input):
```
&SYSTEM
  ibrav = 0, nat = 3, ntyp = 3
/
ATOMIC_SPECIES
Co 58.93 Co.upf
Ru 101.07 Ru.upf
W 183.84 W.upf
CELL_PARAMETERS angstrom
4.0822 0.0000 0.0000
2.0411 3.5353 0.0000
2.0411 1.1784 3.3331
ATOMIC_POSITIONS crystal
Co 0.0000 0.0000 0.0000
Ru 0.5000 0.5000 0.5000
W 0.7500 0.7500 0.7500
```

Summary:
Calculated volume in Å³ per atom: 16.03
DFT formation energy in meV/atom: 516